No. 1
Material: Zn2CuBr
Method: DFT, PBE
State: relaxed

Cell and atoms, written as extended XYZ:
```
4
Lattice="3.4872 0.0000 0.0000 0.0000 3.4873 0.0000 0.0000 0.0000 7.3007" Properties=species:S:1:pos:R:3 pbc="T T T"
Br 0.0000 0.0000 2.9921
Zn 0.0000 0.0000 6.8383
Cu 1.7436 1.7436 6.6642
Zn 1.7436 1.7436 1.7572
```

Summary:
energy above the most stable polymorph in this dataset	123.7	meV per atom
energy relative to the elements, uncorrected	77	meV/atom
energy	-2.00	eV/atom
spin magnetization	0.000	μB/atom

---

No. 2
Material: Hf2MnTl
Method: DFT, PBE
State: relaxed

Cell and atoms, written as extended XYZ:
```
4
Lattice="0.0000 3.3681 3.3681 3.3681 0.0000 3.3681 3.3681 3.3681 0.0000" Properties=species:S:1:pos:R:3 pbc="T T T"
Hf 1.6840 1.6840 1.6840
Tl 3.3681 3.3681 3.3681
Mn 0.0000 0.0000 0.0000
Hf 5.0521 5.0521 5.0521
```

Summary:
energy above the most stable polymorph in this dataset	284.7	meV per atom
E_form	0.91	eV/f.u.
energy	-7.63	eV/atom
spin magnetization	0.000	μB/atom

---

No. 3
Material: CsLa2Br8
Method: DFT, PBE
State: relaxed

Cell and atoms, written as extended XYZ:
```
11
Lattice="5.7504 0.3258 0.4890 -0.4906 8.8070 -0.3215 -0.4906 -3.6887 8.0037" Properties=species:S:1:pos:R:3 pbc="T T T"
Br 2.3846 5.7021 2.1002
La -0.4906 0.0918 5.4850
Br -0.1760 2.6771 0.3459
Cs 2.8752 0.1629 0.2445
Br -0.1760 -0.7119 2.6038
Br 3.8138 2.7957 4.1961
La -0.4906 5.0265 2.1972
Br 2.3846 -0.2580 6.0711
Br 0.9554 2.6484 3.9751
Br 4.9452 2.7670 7.8254
Br 4.9452 6.1560 5.5674
```

Summary:
energy relative to the elements, uncorrected	-1792	meV/atom
energy	-3.98	eV/atom
spin magnetization	0.000	μB/atom

---

No. 4
Material: Cd5In2Pb4
Method: DFT, PBE
State: relaxed

Cell and atoms, written as extended XYZ:
```
11
Lattice="-1.1503 -2.7785 1.3490 4.4597 -4.4832 -5.4313 8.9595 -0.5678 6.4699" Properties=species:S:1:pos:R:3 pbc="T T T"
Cd 5.0588 -3.6212 -3.1449
Cd 8.3604 -1.4299 4.1836
Cd 4.3969 -2.0789 -0.5327
Pb 0.9614 -2.1739 0.3686
In 3.4552 -0.4548 2.0095
Pb 5.7687 -3.0707 2.6205
Cd 2.2299 -2.2416 -2.7156
Pb 11.3075 -5.6557 2.0190
Cd 9.0223 -2.9722 1.5714
Pb 6.5002 -4.7589 -0.2329
In 9.9640 -4.5963 -0.9708
```

Summary:
E_form	0.56	eV/f.u.
energy	-2.21	eV/atom
spin magnetization	0.000	μB/atom

---

No. 5
Material: BaHf2CuP4
Method: DFT, PBE
State: relaxed

Cell and atoms, written as extended XYZ:
```
16
Lattice="-0.5338 -1.4613 3.5193 2.9717 -5.0242 -3.7390 11.8502 4.3325 3.5966" Properties=species:S:1:pos:R:3 pbc="T T T"
Hf 5.6362 -0.2975 2.8349
P 6.0817 -1.2384 0.4083
Cu 10.4553 -1.3847 3.1145
P 8.2063 -0.9146 2.9686
Ba 9.5004 1.9455 2.2490
P 0.0000 0.0000 0.0000
Hf 8.6518 -1.8555 0.5419
P 3.0678 -0.4394 2.3864
Hf 1.1388 -1.9418 1.4700
Ba 4.7876 -4.0986 1.1279
P 5.9251 2.1662 1.7983
P 11.2202 -1.7136 0.9904
P 11.6676 0.3508 4.0191
P 2.6204 -2.5039 -0.6422
Cu 3.8327 -0.7683 0.2623
Hf 13.1492 -0.2113 1.9069
```

Summary:
E_form	-7.19	eV/f.u.
energy	-6.84	eV/atom
spin magnetization	0.000	μB/atom

---

No. 6
Material: BaAs2W
Method: DFT, PBE
State: relaxed

Cell and atoms, written as extended XYZ:
```
8
Lattice="-0.4730 2.5628 5.1399 4.4017 -3.1511 1.9763 6.8012 5.0654 1.3307" Properties=species:S:1:pos:R:3 pbc="T T T"
As 5.4729 4.3668 3.1722
Ba 6.5836 0.8101 3.4325
W 4.1463 3.6670 5.0143
Ba 1.9644 -0.2941 3.5581
As 1.8366 3.1154 5.0781
As 5.2381 5.6470 5.7429
W 0.0000 0.0000 0.0000
As 4.0376 1.5389 6.0642
```

Summary:
energy above the most stable polymorph in this dataset	86.2	meV per atom
E_form	-0.61	eV/f.u.
energy	-6.20	eV/atom
spin magnetization	0.000	μB/atom

---

No. 7
Material: KZnP3
Method: DFT, PBE
State: relaxed

Cell and atoms, written as extended XYZ:
```
5
Lattice="-4.1868 -3.2785 0.1977 3.2841 -4.1836 0.1709 0.0501 0.2564 5.3150" Properties=species:S:1:pos:R:3 pbc="T T T"
K 0.0000 0.0000 0.0000
P -2.0934 -1.6393 0.0988
P 1.6420 -2.0918 0.0854
Zn -0.4263 -3.6029 2.8418
P 0.0251 0.1282 2.6575
```

Summary:
energy above the most stable polymorph in this dataset	1433.7	meV per atom
E_form	10.00	eV/f.u.
energy	-1.72	eV/atom
spin magnetization	0.000	μB/atom

---

No. 8
Material: PaNbSO4
Method: DFT, PBE
State: relaxed

Cell and atoms, written as extended XYZ:
```
14
Lattice="6.3702 -0.0507 0.1585 2.0623 6.0274 0.1585 1.8724 1.3271 6.6880" Properties=species:S:1:pos:R:3 pbc="T T T"
O 5.2521 3.7225 5.8520
Nb 6.7129 4.7579 5.2455
Pa 6.9145 4.9008 1.2136
O 6.6332 6.5867 5.7373
Pa 3.3905 2.4031 5.7915
Nb 3.5920 2.5459 1.7596
O 5.0529 3.5813 1.1532
O 8.4120 4.0769 5.7373
S 9.7679 6.9232 5.5144
O 3.6660 2.5984 3.6199
S 0.5370 0.3806 1.4907
O 6.6389 4.7055 3.3852
O 1.8929 3.2270 1.2679
O 3.6718 0.7171 1.2679
```

Summary:
energy relative to the elements, uncorrected	-2616	meV/atom
energy	-8.83	eV/atom
spin magnetization	0.000	μB/atom

---

No. 9
Material: AlIrS2N
Method: DFT, PBE
State: relaxed

Cell and atoms, written as extended XYZ:
```
5
Lattice="4.8712 0.0000 0.0000 0.0000 4.8712 0.0000 0.0000 0.0000 3.6512" Properties=species:S:1:pos:R:3 pbc="T T T"
Ir 0.0000 0.0000 0.0000
S 2.4356 0.0000 0.0000
S 0.0000 2.4356 0.0000
Al 2.4356 2.4356 1.8256
N 0.0000 0.0000 1.8256
```

Summary:
energy above the most stable polymorph in this dataset	0.0	meV per atom
energy relative to the elements, uncorrected	370	meV/atom
energy	-5.47	eV/atom
spin magnetization	0.000	μB/atom

---

No. 10
Material: Dy3Er2Se6
Method: DFT, PBE
State: relaxed

Cell and atoms, written as extended XYZ:
```
11
Lattice="-0.2300 6.4876 2.6603 -2.2921 1.0369 6.5238 6.0629 1.4442 3.1551" Properties=species:S:1:pos:R:3 pbc="T T T"
Se 2.8804 4.4874 7.8373
Se -0.1972 6.9725 7.6032
Dy -1.6879 5.0098 6.1382
Se 0.6603 4.4813 4.5019
Dy -0.8342 2.5148 3.0459
Se 4.3221 5.9175 4.3262
Er 2.0824 6.4809 5.9531
Se 3.7379 1.9962 4.7360
Er 1.4584 2.4879 6.3861
Se 1.5107 2.0144 1.4892
Dy 0.0000 0.0000 0.0000
```

Summary:
energy above the most stable polymorph in this dataset	0.0	meV per atom
energy relative to the elements, uncorrected	-1849	meV/atom
energy	-5.83	eV/atom
spin magnetization	0.000	μB/atom

---

No. 11
Material: LaMg2ScO
Method: DFT, PBE
State: relaxed

Cell and atoms, written as extended XYZ:
```
5
Lattice="4.5069 0.0000 0.0000 0.0000 5.1898 0.0000 0.0000 0.0000 4.5069" Properties=species:S:1:pos:R:3 pbc="T T T"
La 0.0000 2.5949 0.0000
Sc 2.2535 2.5949 2.2535
Mg 2.2535 0.0000 0.0000
Mg 0.0000 0.0000 2.2535
O 0.0000 0.0000 0.0000
```

Summary:
energy relative to the elements, uncorrected	-776	meV/atom
energy	-4.66	eV/atom
spin magnetization	0.000	μB/atom

---

No. 12
Material: ScCo4Te
Method: DFT, PBE
State: relaxed

Cell and atoms, written as extended XYZ:
```
6
Lattice="-0.0680 -3.4944 -3.4694 -2.9787 0.4552 -3.8952 1.8927 0.9147 -4.4535" Properties=species:S:1:pos:R:3 pbc="T T T"
Co -0.4335 -0.7981 -4.4398
Co 0.5077 -0.3433 -6.6545
Te 0.0000 0.0000 0.0000
Co -0.4673 -2.5359 -6.1651
Sc -0.8655 -1.5934 -8.8636
Co -1.9148 -0.5718 -6.3769
```

Summary:
energy relative to the elements, uncorrected	-75	meV/atom
energy	-6.39	eV/atom
spin magnetization	0.842	μB/atom